Entry 1:
VASP calculation (PBE-GGA) on a relaxed structure of NiTePI2.

Cell: 5.1142 5.1142 5.1201 Å, 90.00 90.00 90.00°
Atoms (fractional coordinates):
1 Ni 0.0000 0.0000 0.0000
2 Te 0.0000 0.0000 0.5000
3 P 0.5000 0.5000 0.5000
4 I 0.0000 0.5000 0.0000
5 I 0.5000 0.0000 0.0000

Calculated values
- Magnetic moment: 0.00 μB per formula unit
- DOS(E_F): 1.026 states/eV per atom
- SG: P4/mmm (123)
- E_form (uncorrected): 0.697 eV per atom

---

Entry 2:
VASP calculation (PBE-GGA) on a relaxed structure of NiTePI2.

Cell: 5.5313 5.5313 5.7261 Å, 90.00 90.00 90.00°
Atoms (fractional coordinates):
1 Ni 0.0000 0.0000 0.0000
2 Te 0.5000 0.5000 0.0000
3 P 0.5000 0.5000 0.5000
4 I 0.0000 0.5000 0.5000
5 I 0.5000 0.0000 0.5000

Calculated values
- Magnetic moment: 0.05 μB per formula unit
- DOS(E_F): 2.239 states/eV per atom
- SG: P4/mmm (123)
- E_form (uncorrected): 0.965 eV per atom

---

Entry 3:
VASP calculation (PBE-GGA) on a relaxed structure of Zr2NiPI.

Cell: 5.0902 5.0902 4.0473 Å, 90.00 90.00 90.00°
Atoms (fractional coordinates):
1 Zr 0.0000 0.5000 0.0000
2 Zr 0.5000 0.0000 0.0000
3 Ni 0.0000 0.0000 0.5000
4 P 0.0000 0.0000 0.0000
5 I 0.5000 0.5000 0.5000

Calculated values
- Magnetic moment: 0.00 μB per formula unit
- DOS(E_F): 0.914 states/eV per atom
- SG: P4/mmm (123)
- E_form (uncorrected): -0.228 eV per atom

---

Entry 4:
VASP calculation (PBE-GGA) on a relaxed structure of PaNiI2.

Cell: 9.5978 9.5978 9.5978 Å, 22.30 22.30 22.30°
Atoms (fractional coordinates):
1 Pa 0.0000 0.0000 0.0000
2 Ni 0.5000 0.5000 0.5000
3 I 0.1094 0.1094 0.1094
4 I 0.8906 0.8906 0.8906

Calculated values
- Magnetic moment: 2.75 μB per formula unit
- DOS(E_F): 1.994 states/eV per atom
- SG: R-3m (166)
- E_form (uncorrected): 0.325 eV per atom

---

Entry 5:
VASP calculation (PBE-GGA) on a relaxed structure of PaNi2I8.

Cell: 7.9660 7.9660 7.4706 Å, 96.27 96.27 110.16°
Atoms (fractional coordinates):
1 Pa 0.0000 0.0000 0.0000
2 Ni 0.0899 0.0899 0.3746
3 Ni 0.9101 0.9101 0.6254
4 I 0.1283 0.7495 0.7411
5 I 0.2272 0.2272 0.7217
6 I 0.2505 0.8717 0.2589
7 I 0.3340 0.3340 0.2312
8 I 0.6660 0.6660 0.7688
9 I 0.7495 0.1283 0.7411
10 I 0.7728 0.7728 0.2783
11 I 0.8717 0.2505 0.2589

Calculated values
- Magnetic moment: 0.37 μB per formula unit
- DOS(E_F): 0.578 states/eV per atom
- SG: C2/m (12)
- E_form (uncorrected): -0.409 eV per atom

---

Entry 6:
VASP calculation (PBE-GGA) on a relaxed structure of Pa2NiS4I.

Cell: 5.7382 5.7382 9.7549 Å, 112.10 112.10 40.38°
Atoms (fractional coordinates):
1 Pa 0.2014 0.2014 0.2970
2 Pa 0.7986 0.7986 0.7030
3 Ni 0.0000 0.0000 0.5000
4 S 0.1516 0.1516 0.7497
5 S 0.3857 0.3857 0.5745
6 S 0.6143 0.6143 0.4255
7 S 0.8484 0.8484 0.2503
8 I 0.5000 0.5000 0.0000

Calculated values
- Magnetic moment: 1.03 μB per formula unit
- DOS(E_F): 0.662 states/eV per atom
- SG: C2/m (12)
- E_form (uncorrected): -1.117 eV per atom

---

Entry 7:
VASP calculation (PBE-GGA) on a relaxed structure of NiPbI2.

Cell: 9.8398 9.8398 9.8398 Å, 22.87 22.87 22.87°
Atoms (fractional coordinates):
1 Ni 0.0000 0.0000 0.0000
2 Pb 0.5000 0.5000 0.5000
3 I 0.3865 0.3865 0.3865
4 I 0.6135 0.6135 0.6135

Calculated values
- Magnetic moment: 1.36 μB per formula unit
- DOS(E_F): 0.781 states/eV per atom
- SG: R-3m (166)
- E_form (uncorrected): 0.014 eV per atom

---

Entry 8:
VASP calculation (PBE-GGA) on a relaxed structure of NiPb3I.

Cell: 5.9647 5.9647 5.9647 Å, 90.00 90.00 90.00°
Atoms (fractional coordinates):
1 Ni 0.0000 0.0000 0.0000
2 Pb 0.0000 0.5000 0.5000
3 Pb 0.5000 0.0000 0.5000
4 Pb 0.5000 0.5000 0.0000
5 I 0.5000 0.5000 0.5000

Calculated values
- Magnetic moment: 0.03 μB per formula unit
- DOS(E_F): 1.976 states/eV per atom
- SG: Pm-3m (221)
- E_form (uncorrected): 1.258 eV per atom

---

Entry 9:
VASP calculation (PBE-GGA) on a relaxed structure of NiPbI.

Cell: 7.1498 7.2185 6.9791 Å, 90.00 115.95 90.00°
Atoms (fractional coordinates):
1 Ni 0.2469 0.1398 0.2736
2 Ni 0.2469 0.3602 0.7736
3 Ni 0.7531 0.6398 0.2264
4 Ni 0.7531 0.8602 0.7264
5 Pb 0.0344 0.6756 0.6587
6 Pb 0.0344 0.8244 0.1587
7 Pb 0.9656 0.1756 0.8413
8 Pb 0.9656 0.3244 0.3413
9 I 0.3930 0.0556 0.6945
10 I 0.3930 0.4444 0.1945
11 I 0.6070 0.5556 0.8055
12 I 0.6070 0.9444 0.3055

Calculated values
- Magnetic moment: 0.00 μB per formula unit
- DOS(E_F): 0.474 states/eV per atom
- SG: P2_1/c (14)
- E_form (uncorrected): 0.041 eV per atom

---

Entry 10:
VASP calculation (PBE-GGA) on a relaxed structure of Ni3PbI.

Cell: 4.7199 4.7199 4.7199 Å, 90.00 90.00 90.00°
Atoms (fractional coordinates):
1 Ni 0.0000 0.0000 0.5000
2 Ni 0.0000 0.5000 0.0000
3 Ni 0.5000 0.0000 0.0000
4 Pb 0.5000 0.5000 0.5000
5 I 0.0000 0.0000 0.0000

Calculated values
- Magnetic moment: 0.00 μB per formula unit
- DOS(E_F): 0.735 states/eV per atom
- SG: Pm-3m (221)
- E_form (uncorrected): 0.807 eV per atom

---

Entry 11:
VASP calculation (PBE-GGA) on a relaxed structure of NiPb2I.

Cell: 5.3817 5.3817 5.3817 Å, 60.00 60.00 60.00°
Atoms (fractional coordinates):
1 Ni 0.0000 0.0000 0.0000
2 Pb 0.2500 0.2500 0.2500
3 Pb 0.7500 0.7500 0.7500
4 I 0.5000 0.5000 0.5000

Calculated values
- Magnetic moment: 0.00 μB per formula unit
- DOS(E_F): 0.941 states/eV per atom
- SG: Fm-3m (225)
- E_form (uncorrected): 0.519 eV per atom

---

Entry 12:
VASP calculation (PBE-GGA) on a relaxed structure of NiPbI2.

Cell: 7.4839 7.4839 7.4839 Å, 124.01 124.01 83.18°
Atoms (fractional coordinates):
1 Ni 0.0000 0.0000 0.0000
2 Ni 0.7500 0.2500 0.5000
3 Pb 0.2500 0.7500 0.5000
4 Pb 0.5000 0.5000 0.0000
5 I 0.0413 0.6250 0.9163
6 I 0.3750 0.2913 0.4163
7 I 0.7087 0.1250 0.0837
8 I 0.8750 0.9587 0.5837

Calculated values
- Magnetic moment: 0.00 μB per formula unit
- DOS(E_F): 0.270 states/eV per atom
- SG: I-42d (122)
- E_form (uncorrected): 0.067 eV per atom

---

Entry 13:
VASP calculation (PBE-GGA) on a relaxed structure of NiPbI2.

Cell: 5.4364 5.4364 5.4364 Å, 60.00 60.00 60.00°
Atoms (fractional coordinates):
1 Ni 0.0000 0.0000 0.0000
2 Pb 0.5000 0.5000 0.5000
3 I 0.2500 0.2500 0.2500
4 I 0.7500 0.7500 0.7500

Calculated values
- Magnetic moment: 0.14 μB per formula unit
- DOS(E_F): 3.448 states/eV per atom
- SG: Fm-3m (225)
- E_form (uncorrected): 0.388 eV per atom

---

Entry 14:
VASP calculation (PBE-GGA) on a relaxed structure of NiPb2I.

Cell: 8.2028 8.2028 8.2028 Å, 132.66 132.66 69.19°
Atoms (fractional coordinates):
1 Ni 0.0000 0.0000 0.0000
2 Ni 0.7500 0.2500 0.5000
3 Pb 0.0079 0.6250 0.8829
4 Pb 0.3750 0.2579 0.3829
5 Pb 0.7421 0.1250 0.1171
6 Pb 0.8750 0.9921 0.6171
7 I 0.2500 0.7500 0.5000
8 I 0.5000 0.5000 0.0000

Calculated values
- Magnetic moment: 0.00 μB per formula unit
- DOS(E_F): 0.461 states/eV per atom
- SG: I-42d (122)
- E_form (uncorrected): 0.153 eV per atom

---

Entry 15:
VASP calculation (PBE-GGA) on a relaxed structure of NiPb3I.

Cell: 5.3038 5.3038 5.3038 Å, 90.00 90.00 90.00°
Atoms (fractional coordinates):
1 Ni 0.0000 0.0000 0.0000
2 Pb 0.0000 0.0000 0.5000
3 Pb 0.0000 0.5000 0.0000
4 Pb 0.5000 0.0000 0.0000
5 I 0.5000 0.5000 0.5000

Calculated values
- Magnetic moment: 0.00 μB per formula unit
- DOS(E_F): 0.544 states/eV per atom
- SG: Pm-3m (221)
- E_form (uncorrected): 0.051 eV per atom

---

Entry 16:
VASP calculation (PBE-GGA) on a relaxed structure of Rb2NiPbI6.

Cell: 8.4071 8.4071 8.4071 Å, 60.00 60.00 60.00°
Atoms (fractional coordinates):
1 Rb 0.2500 0.2500 0.2500
2 Rb 0.7500 0.7500 0.7500
3 Ni 0.0000 0.0000 0.0000
4 Pb 0.5000 0.5000 0.5000
5 I 0.2326 0.2326 0.7674
6 I 0.2326 0.7674 0.2326
7 I 0.2326 0.7674 0.7674
8 I 0.7674 0.2326 0.2326
9 I 0.7674 0.2326 0.7674
10 I 0.7674 0.7674 0.2326

Calculated values
- Magnetic moment: 1.99 μB per formula unit
- DOS(E_F): 0.105 states/eV per atom
- SG: Fm-3m (225)
- E_form (uncorrected): -0.739 eV per atom

---

Entry 17:
VASP calculation (PBE-GGA) on a relaxed structure of NiSb2PbI.

Cell: 4.9910 4.9910 5.6890 Å, 90.00 90.00 90.00°
Atoms (fractional coordinates):
1 Ni 0.0000 0.0000 0.0000
2 Sb 0.0000 0.5000 0.0000
3 Sb 0.5000 0.0000 0.0000
4 Pb 0.5000 0.5000 0.5000
5 I 0.0000 0.0000 0.5000

Calculated values
- Magnetic moment: 0.00 μB per formula unit
- DOS(E_F): 1.198 states/eV per atom
- SG: P4/mmm (123)
- E_form (uncorrected): 0.240 eV per atom

---

Entry 18:
VASP calculation (PBE-GGA) on a relaxed structure of NiSb2PbI.

Cell: 5.8812 5.8812 6.0943 Å, 90.00 90.00 90.00°
Atoms (fractional coordinates):
1 Ni 0.0000 0.0000 0.0000
2 Sb 0.0000 0.5000 0.5000
3 Sb 0.5000 0.0000 0.5000
4 Pb 0.5000 0.5000 0.5000
5 I 0.5000 0.5000 0.0000

Calculated values
- Magnetic moment: 2.44 μB per formula unit
- DOS(E_F): 2.375 states/eV per atom
- SG: P4/mmm (123)
- E_form (uncorrected): 1.290 eV per atom

---

Entry 19:
VASP calculation (PBE-GGA) on a relaxed structure of SrNi2PbI.

Cell: 4.9124 4.9124 6.4087 Å, 90.00 90.00 90.00°
Atoms (fractional coordinates):
1 Sr 0.0000 0.0000 0.0000
2 Ni 0.0000 0.5000 0.5000
3 Ni 0.5000 0.0000 0.5000
4 Pb 0.5000 0.5000 0.5000
5 I 0.5000 0.5000 0.0000

Calculated values
- Magnetic moment: 0.61 μB per formula unit
- DOS(E_F): 1.326 states/eV per atom
- SG: P4/mmm (123)
- E_form (uncorrected): 0.257 eV per atom

---

Entry 20:
VASP calculation (PBE-GGA) on a relaxed structure of NiTe2PbI.

Cell: 5.1412 5.1412 5.4009 Å, 90.00 90.00 90.00°
Atoms (fractional coordinates):
1 Ni 0.0000 0.0000 0.0000
2 Te 0.0000 0.5000 0.0000
3 Te 0.5000 0.0000 0.0000
4 Pb 0.5000 0.5000 0.5000
5 I 0.0000 0.0000 0.5000

Calculated values
- Magnetic moment: 0.00 μB per formula unit
- DOS(E_F): 0.758 states/eV per atom
- SG: P4/mmm (123)
- E_form (uncorrected): 0.050 eV per atom

---

Entry 21:
VASP calculation (PBE-GGA) on a relaxed structure of NiTe2PbI.

Cell: 5.9077 5.9077 6.0892 Å, 90.00 90.00 90.00°
Atoms (fractional coordinates):
1 Ni 0.0000 0.0000 0.0000
2 Te 0.0000 0.5000 0.5000
3 Te 0.5000 0.0000 0.5000
4 Pb 0.5000 0.5000 0.5000
5 I 0.5000 0.5000 0.0000

Calculated values
- Magnetic moment: 1.68 μB per formula unit
- DOS(E_F): 2.731 states/eV per atom
- SG: P4/mmm (123)
- E_form (uncorrected): 0.987 eV per atom

---

Entry 22:
VASP calculation (PBE-GGA) on a relaxed structure of NiPdI5.

Cell: 9.0193 9.0193 12.3413 Å, 117.54 117.54 44.70°
Atoms (fractional coordinates):
1 Ni 0.2198 0.7802 0.7500
2 Ni 0.7802 0.2198 0.2500
3 Pd 0.5000 0.5000 0.0000
4 Pd 0.5000 0.5000 0.5000
5 I 0.1275 0.6561 0.5134
6 I 0.1595 0.8405 0.2500
7 I 0.2012 0.5380 0.7956
8 I 0.3439 0.8725 0.9866
9 I 0.4620 0.7988 0.7044
10 I 0.5380 0.2012 0.2956
11 I 0.6561 0.1275 0.0134
12 I 0.7988 0.4620 0.2044
13 I 0.8405 0.1595 0.7500
14 I 0.8725 0.3439 0.4866

Calculated values
- Magnetic moment: 1.27 μB per formula unit
- DOS(E_F): 0.630 states/eV per atom
- SG: C2/c (15)
- E_form (uncorrected): -0.067 eV per atom

---

Entry 23:
VASP calculation (PBE-GGA) on a relaxed structure of Ni3PdI.

Cell: 4.5757 4.5757 4.5757 Å, 90.00 90.00 90.00°
Atoms (fractional coordinates):
1 Ni 0.0000 0.0000 0.5000
2 Ni 0.0000 0.5000 0.0000
3 Ni 0.5000 0.0000 0.0000
4 Pd 0.5000 0.5000 0.5000
5 I 0.0000 0.0000 0.0000

Calculated values
- Magnetic moment: 0.49 μB per formula unit
- DOS(E_F): 1.957 states/eV per atom
- SG: Pm-3m (221)
- E_form (uncorrected): 1.079 eV per atom

---

Entry 24:
VASP calculation (PBE-GGA) on a relaxed structure of NiPd2I6.

Cell: 7.9312 7.9312 13.1735 Å, 112.32 112.32 28.38°
Atoms (fractional coordinates):
1 Ni 0.0000 0.0000 0.0000
2 Pd 0.2769 0.2769 0.6917
3 Pd 0.7231 0.7231 0.3083
4 I 0.0984 0.0984 0.2327
5 I 0.3476 0.3476 0.3882
6 I 0.3946 0.3946 0.0334
7 I 0.6054 0.6054 0.9666
8 I 0.6524 0.6524 0.6118
9 I 0.9016 0.9016 0.7673

Calculated values
- Magnetic moment: 1.59 μB per formula unit
- DOS(E_F): 0.370 states/eV per atom
- SG: C2/m (12)
- E_form (uncorrected): -0.136 eV per atom

---

Entry 25:
VASP calculation (PBE-GGA) on a relaxed structure of NiPd3I8.

Cell: 9.8532 9.8532 8.1871 Å, 106.70 106.70 45.06°
Atoms (fractional coordinates):
1 Ni 0.0000 0.0000 0.0000
2 Pd 0.0000 0.5000 0.5000
3 Pd 0.5000 0.0000 0.5000
4 Pd 0.5000 0.5000 0.0000
5 I 0.2092 0.2092 0.6787
6 I 0.2112 0.7319 0.1831
7 I 0.2363 0.2363 0.2682
8 I 0.2681 0.7888 0.8169
9 I 0.7319 0.2112 0.1831
10 I 0.7637 0.7637 0.7318
11 I 0.7888 0.2681 0.8169
12 I 0.7908 0.7908 0.3213

Calculated values
- Magnetic moment: 0.12 μB per formula unit
- DOS(E_F): 0.368 states/eV per atom
- SG: C2/m (12)
- E_form (uncorrected): -0.166 eV per atom

---

Entry 26:
VASP calculation (PBE-GGA) on a relaxed structure of NiPdI.

Cell: 5.1917 4.0216 5.6515 Å, 90.00 94.33 90.00°
Atoms (fractional coordinates):
1 Ni 0.1344 0.2500 0.0588
2 Ni 0.8656 0.7500 0.9412
3 Pd 0.3609 0.7500 0.8262
4 Pd 0.6391 0.2500 0.1737
5 I 0.2499 0.7500 0.3116
6 I 0.7501 0.2500 0.6884

Calculated values
- Magnetic moment: 0.00 μB per formula unit
- DOS(E_F): 1.227 states/eV per atom
- SG: P2_1/m (11)
- E_form (uncorrected): 0.209 eV per atom